Material: Bi2SbAs2
Method: DFT, GGA-PBE
State: relaxed

Lattice parameters (Å, degrees): 3.955 3.955 17.330 90.00 90.00 90.00
Element x y z (fractional)
Bi (0.000, 0.000, 0.102)
Bi (0.000, 0.000, 0.898)
Bi (0.500, 0.500, 0.398)
Bi (0.500, 0.500, 0.602)
Sb (0.000, 0.000, 0.500)
Sb (0.500, 0.500, 0.000)
As (0.000, 0.500, 0.250)
As (0.000, 0.500, 0.750)
As (0.500, 0.000, 0.250)
As (0.500, 0.000, 0.750)

Magnetic moment in μB per atom: 0.00
Electronic total energy in eV/atom: -4.05
E above lowest polymorph in eV per atom: 0.000
DOS(E_F) in states/eV/cell: 4.9